A relaxed structure of Ho4Ir2Ru, computed with PBE-GGA.

a b c (Å): 4.7996 4.7996 23.3637
angles (deg): 90.00 90.00 120.00
Space group R-3m (No. 166, hexagonal axes)
Asymmetric unit:
Ho1 0.0000 0.0000 0.1245 [6 per cell]
Ho2 0.0000 0.0000 0.3751 [6 per cell]
Ir1 0.0000 0.0000 0.2499 [6 per cell]
Ru1 0.0000 0.0000 0.5000 [3 per cell]

Computed properties:
ΔH_f (0 K) (meV per atom): -699
DOS at the Fermi energy (states/eV/f.u.): 3.8
Uncorrected energy (eV/atom): -7.172
Total magnetic moment (μB per formula unit): 0.00